(1)
Here is an optimized crystal structure of AlRu2W from Alexandria via LeMat-Bulk. Energies are from PBE.

Lattice parameters (Å, degrees): 8.6842 8.6842 8.6842 18.67 18.67 18.67
Last column: nearest neighbours and their distance in Å.
Fractional coordinates of all 4 atoms:
Al: 0.7500 0.7500 0.7500  6 Ru 2.65, 6 Al 2.82
Ru: 0.4985 0.4985 0.4985  3 Al 2.65, 3 W 2.71, 6 Ru 2.82
Ru: 0.0015 0.0015 0.0015  3 Al 2.65, 3 W 2.71, 6 Ru 2.82
W: 0.2500 0.2500 0.2500  6 Ru 2.71, 6 W 2.82

Computed properties:
energy of formation from the pure elements	-0.137	eV/atom
total moment	0.000	μB/f.u.
final energy	-8.95	eV per atom

(2)
Here is an optimized crystal structure of NaErBr4 from Alexandria via LeMat-Bulk. Energies are from PBE.

Lattice parameters (Å, degrees): 4.1493 7.0360 7.5396 91.78 90.00 90.00
Last column: nearest neighbours and their distance in Å.
Fractional coordinates of all 6 atoms:
Na: 0.5000 0.0000 0.5000  6 Br 2.95-3.14
Br: 0.5000 0.2283 0.1490  2 Er 2.83, 1 Na 3.14
Br: 0.0000 0.7864 0.2985  1 Er 2.74, 2 Na 2.95
Br: 0.0000 0.2136 0.7015  1 Er 2.74, 2 Na 2.95
Br: 0.5000 0.7717 0.8510  2 Er 2.83, 1 Na 3.14
Er: 0.0000 0.0000 0.0000  6 Br 2.74-2.83

Computed properties:
total moment	0.000	μB/f.u.
polymorph energy (0 for the lowest one)	0	meV/atom
formation energy (no corrections)	-1.760	eV per atom
final energy	-3.86	eV per atom

(3)
Here is an optimized crystal structure of Zr3HgN from Alexandria via LeMat-Bulk. Energies are from PBE.

Lattice parameters (Å, degrees): 22.5230 9.0683 9.0683 159.01 159.63 20.37
Last column: nearest neighbours and their distance in Å.
Fractional coordinates of all 10 atoms:
Zr: 0.9785 0.6033 0.3967  1 N 2.29
Zr: 0.3210 0.4360 0.5640  3 N 2.25-2.28
Zr: 0.0215 0.3967 0.6033  1 N 2.29
Zr: 0.6296 0.4498 0.5502  2 N 2.26
Zr: 0.6790 0.5640 0.4360  3 N 2.25-2.28
Zr: 0.3704 0.5502 0.4498  2 N 2.26
N: 0.3566 0.9802 0.0198  6 Zr 2.25-2.29
N: 0.6434 0.0198 0.9802  6 Zr 2.25-2.29
Hg: 0.7981 0.0594 0.9406  5 Zr 2.94-3.08
Hg: 0.2019 0.9406 0.0594  5 Zr 2.94-3.08

Computed properties:
total moment	0.000	μB/f.u.
formation energy (no corrections)	-0.659	eV per atom
final energy	-7.51	eV per atom

(4)
Here is an optimized crystal structure of NiRuC from Alexandria via LeMat-Bulk. Energies are from PBE.

Lattice parameters (Å, degrees): 2.7428 2.7428 14.3532 90.00 90.00 120.00
Last column: nearest neighbours and their distance in Å.
Fractional coordinates of all 9 atoms:
C: 0.3333 0.6667 0.8379  3 Ni 2.00, 3 Ru 2.07
C: 0.6667 0.3333 0.5046  3 Ni 2.00, 3 Ru 2.07
C: 0.0000 0.0000 0.1712  3 Ni 2.00, 3 Ru 2.07
Ru: 0.3333 0.6667 0.4112  3 C 2.07
Ru: 0.0000 0.0000 0.7445  3 C 2.07
Ru: 0.6667 0.3333 0.0778  3 C 2.07
Ni: 0.0000 0.0000 0.9233  3 C 2.00
Ni: 0.3333 0.6667 0.5900  3 C 2.00
Ni: 0.6667 0.3333 0.2567  3 C 2.00

Computed properties:
energy of formation from the pure elements	0.356	eV/atom
total moment	0.000	μB/f.u.
polymorph energy (0 for the lowest one)	28	meV/atom
final energy	-7.74	eV per atom

(5)
Here is an optimized crystal structure of La6PrEr2Th from Alexandria via LeMat-Bulk. Energies are from PBE.

Lattice parameters (Å, degrees): 9.9974 8.9604 8.9604 116.63 94.85 94.85
Last column: nearest neighbours and their distance in Å.
Fractional coordinates of all 20 atoms:
La: 0.3789 0.5084 0.3001  3 Er 3.35-3.52, 3 La 3.38-3.50, 2 Th 3.45-3.68
La: 0.8789 0.3001 0.5084  3 Er 3.35-3.52, 3 La 3.38-3.50, 2 Th 3.45-3.68
La: 0.4446 0.2473 0.8930  6 La 3.50-3.90, 2 Er 3.57-3.84, 1 Pr 3.64
La: 0.1907 0.5656 0.0034  3 La 3.38-3.75, 1 Th 3.42, 1 Er 3.54, 1 Pr 3.59
La: 0.3093 0.9966 0.4344  3 La 3.38-3.75, 1 Th 3.42, 1 Er 3.54, 1 Pr 3.59
La: 0.5554 0.7527 0.1070  6 La 3.50-3.90, 2 Er 3.57-3.84, 1 Pr 3.64
La: 0.6211 0.4916 0.6999  3 Er 3.35-3.52, 3 La 3.38-3.50, 2 Th 3.45-3.68
La: 0.0554 0.1070 0.7527  6 La 3.50-3.90, 2 Er 3.57-3.84, 1 Pr 3.64
La: 0.9446 0.8930 0.2473  6 La 3.50-3.90, 2 Er 3.57-3.84, 1 Pr 3.64
La: 0.8093 0.4344 0.9966  3 La 3.38-3.75, 1 Th 3.42, 1 Er 3.54, 1 Pr 3.59
La: 0.1211 0.6999 0.4916  3 Er 3.35-3.52, 3 La 3.38-3.50, 2 Th 3.45-3.68
La: 0.6907 0.0034 0.5656  3 La 3.38-3.75, 1 Th 3.42, 1 Er 3.54, 1 Pr 3.59
Pr: 0.2500 0.9760 0.0240  4 Er 3.45-3.47, 4 La 3.59-3.64
Pr: 0.7500 0.0240 0.9760  4 Er 3.45-3.47, 4 La 3.59-3.64
Er: 0.9515 0.7117 0.8030  5 La 3.35-3.57, 2 Pr 3.45-3.47, 1 Th 3.58
Er: 0.5485 0.1970 0.2883  5 La 3.35-3.57, 2 Pr 3.45-3.47, 1 Th 3.58
Er: 0.4515 0.8030 0.7117  5 La 3.35-3.57, 2 Pr 3.45-3.47, 1 Th 3.58
Er: 0.0485 0.2883 0.1970  5 La 3.35-3.57, 2 Pr 3.45-3.47, 1 Th 3.58
Th: 0.2500 0.4068 0.5932  6 La 3.42-3.68, 2 Er 3.58
Th: 0.7500 0.5932 0.4068  6 La 3.42-3.68, 2 Er 3.58

Computed properties:
energy of formation from the pure elements	0.125	eV/atom
total moment	0.000	μB/f.u.
final energy	-4.96	eV per atom

(6)
Here is an optimized crystal structure of La2ReMo from Alexandria via LeMat-Bulk. Energies are from PBE.

Lattice parameters (Å, degrees): 3.2435 3.2435 9.2709 90.00 90.00 90.00
Last column: nearest neighbours and their distance in Å.
Fractional coordinates of all 4 atoms:
La: 0.5000 0.5000 0.3131  4 Mo 3.21, 4 La 3.24, 1 Re 3.56
La: 0.0000 0.0000 0.9343  4 Re 3.18, 4 La 3.24, 1 Mo 3.51
Re: 0.5000 0.5000 0.6971  4 Mo 2.64
Mo: 0.0000 0.0000 0.5555  4 Re 2.64

Computed properties:
energy of formation from the pure elements	0.179	eV/atom
total moment	0.000	μB/f.u.
polymorph energy (0 for the lowest one)	0	meV/atom
final energy	-8.11	eV per atom

(7)
Here is an optimized crystal structure of CdSiRh from Alexandria via LeMat-Bulk. Energies are from PBE.

Lattice parameters (Å, degrees): 4.2698 4.2698 4.2698 60.00 60.00 60.00
Last column: nearest neighbours and their distance in Å.
Fractional coordinates of all 3 atoms:
Cd: 0.5000 0.5000 0.5000  4 Rh 2.61
Si: 0.0000 0.0000 0.0000  4 Rh 2.61
Rh: 0.7500 0.7500 0.7500  4 Cd 2.61, 4 Si 2.61

Computed properties:
total moment	0.000	μB/f.u.
formation energy (no corrections)	-0.065	eV per atom
final energy	-4.63	eV per atom

(8)
Here is an optimized crystal structure of Th2ZnTc3 from Alexandria via LeMat-Bulk. Energies are from PBE.

Lattice parameters (Å, degrees): 5.4336 5.4336 5.5390 90.13 119.43 119.79
Last column: nearest neighbours and their distance in Å.
Fractional coordinates of all 6 atoms:
Tc: 0.5000 0.0000 0.5000  4 Tc 2.72, 2 Zn 2.77
Tc: 0.0000 0.0000 0.5000  4 Tc 2.72-2.73, 2 Zn 2.77
Tc: 0.5000 0.5000 0.5000  4 Tc 2.72-2.73, 2 Zn 2.77
Th: 0.2424 0.6210 0.8634  9 Tc 3.18-3.30, 3 Zn 3.20, 4 Th 3.32-3.38
Th: 0.7576 0.3790 0.1366  9 Tc 3.18-3.30, 3 Zn 3.20, 4 Th 3.32-3.38
Zn: 0.0000 0.0000 0.0000  6 Tc 2.77

Computed properties:
energy of formation from the pure elements	-0.183	eV/atom
total moment	0.000	μB/f.u.
final energy	-8.05	eV per atom

(9)
Here is an optimized crystal structure of LaIrBr2 from Alexandria via LeMat-Bulk. Energies are from PBE.

Lattice parameters (Å, degrees): 5.1313 5.1313 5.1313 60.00 60.00 60.00
Last column: nearest neighbours and their distance in Å.
Fractional coordinates of all 4 atoms:
La: 0.7500 0.7500 0.7500  4 Ir 3.14, 4 Br 3.14
Br: 0.0000 0.0000 0.0000  4 La 3.14, 4 Br 3.14
Br: 0.2500 0.2500 0.2500  4 Br 3.14, 4 Ir 3.14
Ir: 0.5000 0.5000 0.5000  4 Br 3.14, 4 La 3.14

Computed properties:
total moment	0.598	μB/f.u.
polymorph energy (0 for the lowest one)	625	meV/atom
formation energy (no corrections)	-0.235	eV per atom
final energy	-4.52	eV per atom

(10)
Here is an optimized crystal structure of Sb2W from Alexandria via LeMat-Bulk. Energies are from PBE.

Lattice parameters (Å, degrees): 5.2668 5.2668 8.4646 82.49 82.49 35.85
Last column: nearest neighbours and their distance in Å.
Fractional coordinates of all 6 atoms:
Sb: 0.6884 0.6884 0.2007  2 W 2.96, 4 Sb 3.00-3.24
Sb: 0.9546 0.9546 0.9901  4 W 2.76-2.86, 1 Sb 3.00
Sb: 0.6386 0.6386 0.6625  5 W 2.71-2.91
Sb: 0.4039 0.4039 0.3979  2 W 2.87, 1 Sb 3.10
W: 0.2405 0.2405 0.9057  7 Sb 2.86-2.96, 2 W 2.88
W: 0.9073 0.9073 0.6765  6 Sb 2.71-2.87, 2 W 2.88

Computed properties:
total moment	0.000	μB/f.u.
polymorph energy (0 for the lowest one)	88	meV/atom
formation energy (no corrections)	0.367	eV per atom
final energy	-6.70	eV per atom

(11)
Here is an optimized crystal structure of Co2TcPdC from Alexandria via LeMat-Bulk. Energies are from PBE.

Lattice parameters (Å, degrees): 3.8544 3.8544 4.0229 90.00 90.00 90.00
Last column: nearest neighbours and their distance in Å.
Fractional coordinates of all 5 atoms:
Co: 0.0000 0.5000 0.0000  2 C 1.93
Co: 0.5000 0.0000 0.0000  2 C 1.93
Pd: 0.5000 0.5000 0.5000  4 Tc 2.73, 8 Co 2.79
C: 0.0000 0.0000 0.0000  4 Co 1.93, 2 Tc 2.01
Tc: 0.0000 0.0000 0.5000  2 C 2.01

Computed properties:
energy of formation from the pure elements	0.227	eV/atom
total moment	3.725	μB/f.u.
final energy	-7.57	eV per atom

(12)
Here is an optimized crystal structure of TbPr2Zr from Alexandria via LeMat-Bulk. Energies are from PBE.

Lattice parameters (Å, degrees): 5.5785 5.5785 5.5785 60.00 60.00 60.00
Last column: nearest neighbours and their distance in Å.
Fractional coordinates of all 4 atoms:
Pr: 0.7500 0.7500 0.7500  4 Zr 3.42, 4 Tb 3.42
Pr: 0.2500 0.2500 0.2500  4 Zr 3.42, 4 Tb 3.42
Tb: 0.0000 0.0000 0.0000  8 Pr 3.42
Zr: 0.5000 0.5000 0.5000  8 Pr 3.42

Computed properties:
energy of formation from the pure elements	0.223	eV/atom
total moment	0.574	μB/f.u.
polymorph energy (0 for the lowest one)	85	meV/atom
final energy	-5.46	eV per atom

One value per record, in order, for Fermi-level density of states: 2.9, 0.0, 6.4, 10.5, 29.1, 3.6, 2.0, 4.1, 7.3, 3.8, 7.4, 7.3 states/eV per cell.